{
  "formula": "La4SbTe7",
  "functional": "PBE",
  "state": "optimized geometry",
  "lattice_angstrom": [[4.5192, 0.0000, 0.0000], [0.0000, 4.5192, 0.0000], [0.0000, 0.0000, 18.7832]],
  "species": ["La", "La", "La", "La", "Sb", "Te", "Te", "Te", "Te", "Te", "Te", "Te"],
  "fractional_positions": [[0.0000, 0.5000, 0.1369], [0.0000, 0.5000, 0.6384], [0.5000, 0.0000, 0.3616], [0.5000, 0.0000, 0.8631], [0.0000, 0.0000, 0.5000], [0.0000, 0.0000, 0.0000], [0.0000, 0.5000, 0.3147], [0.0000, 0.5000, 0.8174], [0.5000, 0.0000, 0.1826], [0.5000, 0.0000, 0.6853], [0.5000, 0.5000, 0.0000], [0.5000, 0.5000, 0.5000]],
  "rho_g_cm3": 6.798,
  "total_energy_ev_per_cell": -62.3,
  "formation_energy_uncorrected_kcal_per_mol_atoms": -31.74,
  "total_magnetization_mub_per_cell": 0.0
}